Entry 1:
First-principles (GGA-PBE) data for a relaxed structure of PaGaCoNi, as listed in Alexandria.

a b c (Å): 4.482 4.482 4.482
angles (deg): 60.00 60.00 60.00
Element x y z (fractional)
Pa: 0.500 0.500 0.500
Co: 0.250 0.250 0.250
Ga: 0.000 0.000 0.000
Ni: 0.750 0.750 0.750

Computed properties:
ΔH_f (0 K) ... -1.34 eV per formula unit
SG ... F-43m (216)

---

Entry 2:
First-principles (GGA-PBE) data for a relaxed structure of Pa2Ga3CoNi12, as listed in Alexandria.

a b c (Å): 6.323 6.323 6.323
angles (deg): 82.36 82.36 82.36
Element x y z (fractional)
Ga: 0.500 0.000 0.000
Ni: 0.800 0.288 0.800
Ga: 0.000 0.500 0.000
Ni: 0.712 0.200 0.200
Ni: 0.896 0.397 0.397
Ni: 0.104 0.603 0.603
Ni: 0.800 0.800 0.288
Ni: 0.200 0.712 0.200
Co: 0.000 0.000 0.000
Ni: 0.288 0.800 0.800
Ni: 0.397 0.896 0.397
Ga: 0.000 0.000 0.500
Pa: 0.340 0.340 0.340
Ni: 0.397 0.397 0.896
Ni: 0.603 0.104 0.603
Ni: 0.603 0.603 0.104
Pa: 0.660 0.660 0.660
Ni: 0.200 0.200 0.712

Computed properties:
ΔH_f (0 K) ... -2.78 eV per formula unit
SG ... R-3m (166)

---

Entry 3:
First-principles (GGA-PBE) data for a relaxed structure of Pa2Ga4CoNi3, as listed in Alexandria.

a b c (Å): 4.052 4.052 9.838
angles (deg): 90.00 90.00 90.00
Element x y z (fractional)
Ga: 0.000 0.500 0.373
Ga: 0.500 0.000 0.627
Ni: 0.500 0.000 0.864
Pa: 0.000 0.500 0.741
Ga: 0.000 0.000 0.000
Ni: 0.000 0.000 0.500
Pa: 0.500 0.000 0.259
Co: 0.500 0.500 0.500
Ga: 0.500 0.500 0.000
Ni: 0.000 0.500 0.136

Computed properties:
ΔH_f (0 K) ... -4.44 eV per formula unit
SG ... P-4m2 (115)

---

Entry 4:
First-principles (GGA-PBE) data for a relaxed structure of Pa2GaCo2Ni5, as listed in Alexandria.

a b c (Å): 3.842 8.577 8.577
angles (deg): 90.00 90.00 90.00
Element x y z (fractional)
Ni: 0.500 0.067 0.796
Ni: 0.500 0.933 0.204
Ni: 0.500 0.000 0.500
Co: 0.000 0.375 0.125
Pa: 0.000 0.325 0.825
Pa: 0.000 0.675 0.175
Ga: 0.000 0.500 0.500
Ni: 0.500 0.704 0.433
Ga: 0.000 0.000 0.000
Ni: 0.500 0.500 0.000
Ni: 0.500 0.796 0.933
Pa: 0.000 0.825 0.675
Co: 0.000 0.875 0.375
Ni: 0.500 0.433 0.296
Ni: 0.500 0.204 0.067
Ni: 0.500 0.567 0.704
Pa: 0.000 0.175 0.325
Co: 0.000 0.125 0.625
Ni: 0.500 0.296 0.567
Co: 0.000 0.625 0.875

Computed properties:
ΔH_f (0 K) ... -4.29 eV per formula unit
SG ... P4/mbm (127)

---

Entry 5:
First-principles (GGA-PBE) data for a relaxed structure of GaCoNiPd, as listed in Alexandria.

a b c (Å): 4.175 4.175 4.175
angles (deg): 60.00 60.00 60.00
Element x y z (fractional)
Ga: 0.250 0.250 0.250
Co: 0.000 0.000 0.000
Ni: 0.750 0.750 0.750
Pd: 0.500 0.500 0.500

Computed properties:
ΔH_f (0 K) ... -0.70 eV per formula unit
SG ... F-43m (216)

---

Entry 6:
First-principles (GGA-PBE) data for a relaxed structure of Ga2CoNiPd, as listed in Alexandria.

a b c (Å): 4.355 4.754 4.355
angles (deg): 90.00 90.00 90.00
Element x y z (fractional)
Pd: 0.000 0.500 0.000
Co: 0.500 0.500 0.500
Ga: 0.500 0.000 0.000
Ga: 0.000 0.000 0.500
Ni: 0.000 0.000 0.000

Computed properties:
ΔH_f (0 K) ... 2.92 eV per formula unit
SG ... P4/mmm (123)

---

Entry 7:
First-principles (GGA-PBE) data for a relaxed structure of PmGa4Co2Ni, as listed in Alexandria.

a b c (Å): 4.083 4.083 9.021
angles (deg): 76.92 76.92 60.00
Element x y z (fractional)
Ni: 0.500 0.500 0.500
Pm: 0.000 0.000 0.000
Ga: 0.405 0.405 0.784
Ga: 0.131 0.131 0.607
Ga: 0.595 0.595 0.216
Co: 0.228 0.228 0.317
Ga: 0.869 0.869 0.393
Co: 0.772 0.772 0.683

Computed properties:
ΔH_f (0 K) ... -3.17 eV per formula unit
SG ... R-3m (166)

---

Entry 8:
First-principles (GGA-PBE) data for a relaxed structure of Pm2Ga3CoNi12, as listed in Alexandria.

a b c (Å): 9.111 9.111 9.111
angles (deg): 39.05 39.05 39.05
Element x y z (fractional)
Ni: 0.069 0.069 0.652
Ni: 0.581 0.581 0.188
Ga: 0.500 0.000 0.000
Ni: 0.931 0.348 0.931
Ga: 0.000 0.000 0.500
Ga: 0.000 0.500 0.000
Pm: 0.654 0.654 0.654
Ni: 0.419 0.812 0.419
Ni: 0.652 0.069 0.069
Ni: 0.931 0.931 0.348
Ni: 0.419 0.419 0.812
Pm: 0.346 0.346 0.346
Ni: 0.581 0.188 0.581
Ni: 0.069 0.652 0.069
Ni: 0.188 0.581 0.581
Co: 0.000 0.000 0.000
Ni: 0.348 0.931 0.931
Ni: 0.812 0.419 0.419

Computed properties:
ΔH_f (0 K) ... 0.60 eV per formula unit
SG ... R-3m (166)

---

Entry 9:
First-principles (GGA-PBE) data for a relaxed structure of PmGa2CoNi, as listed in Alexandria.

a b c (Å): 4.057 4.057 5.892
angles (deg): 110.14 110.14 90.00
Element x y z (fractional)
Co: 0.750 0.250 0.500
Ga: 0.629 0.629 0.258
Ni: 0.250 0.750 0.500
Pm: 0.000 0.000 0.000
Ga: 0.371 0.371 0.742

Computed properties:
ΔH_f (0 K) ... -2.34 eV per formula unit
SG ... I-4m2 (119)

---

Entry 10:
First-principles (GGA-PBE) data for a relaxed structure of Pm2Ga4CoNi3, as listed in Alexandria.

a b c (Å): 4.170 4.170 9.733
angles (deg): 90.00 90.00 90.00
Element x y z (fractional)
Ga: 0.000 0.500 0.376
Ga: 0.500 0.500 0.000
Ni: 0.000 0.500 0.130
Co: 0.500 0.500 0.500
Ga: 0.500 0.000 0.624
Pm: 0.500 0.000 0.255
Ni: 0.500 0.000 0.870
Ni: 0.000 0.000 0.500
Pm: 0.000 0.500 0.745
Ga: 0.000 0.000 0.000

Computed properties:
ΔH_f (0 K) ... -5.27 eV per formula unit
SG ... P-4m2 (115)

---

Entry 11:
First-principles (GGA-PBE) data for a relaxed structure of PmGa3CoNi, as listed in Alexandria.

a b c (Å): 7.080 5.969 6.055
angles (deg): 119.53 90.00 90.00
Element x y z (fractional)
Ni: 0.250 0.021 0.043
Pm: 0.250 0.740 0.481
Ni: 0.750 0.979 0.957
Ga: 0.000 0.743 0.000
Ga: 0.500 0.257 0.000
Pm: 0.750 0.260 0.519
Ga: 0.250 0.236 0.473
Ga: 0.500 0.743 0.000
Co: 0.750 0.552 0.105
Co: 0.250 0.448 0.895
Ga: 0.750 0.764 0.527
Ga: 0.000 0.257 0.000

Computed properties:
ΔH_f (0 K) ... -1.77 eV per formula unit
SG ... Cmcm (63)

---

Entry 12:
First-principles (GGA-PBE) data for a relaxed structure of PrGa2CoNi, as listed in Alexandria.

a b c (Å): 4.097 4.097 5.925
angles (deg): 110.23 110.23 90.00
Element x y z (fractional)
Co: 0.750 0.250 0.500
Pr: 0.000 0.000 0.000
Ni: 0.250 0.750 0.500
Ga: 0.369 0.369 0.737
Ga: 0.631 0.631 0.263

Computed properties:
ΔH_f (0 K) ... -2.24 eV per formula unit
SG ... I-4m2 (119)

---

Entry 13:
First-principles (GGA-PBE) data for a relaxed structure of PrGa3CoNi, as listed in Alexandria.

a b c (Å): 6.275 6.749 6.306
angles (deg): 122.35 90.00 90.00
Element x y z (fractional)
Ga: 0.000 0.249 0.000
Co: 0.250 0.042 0.084
Pr: 0.250 0.753 0.507
Ga: 0.250 0.251 0.501
Ga: 0.000 0.751 0.000
Ga: 0.500 0.751 0.000
Co: 0.750 0.958 0.916
Pr: 0.750 0.247 0.493
Ni: 0.250 0.462 0.924
Ni: 0.750 0.538 0.076
Ga: 0.750 0.749 0.499
Ga: 0.500 0.249 0.000

Computed properties:
ΔH_f (0 K) ... -1.88 eV per formula unit
SG ... Cmcm (63)

---

Entry 14:
First-principles (GGA-PBE) data for a relaxed structure of PrGa4CoNi2, as listed in Alexandria.

a b c (Å): 4.090 4.090 9.186
angles (deg): 77.14 77.14 60.00
Element x y z (fractional)
Ga: 0.407 0.407 0.780
Co: 0.500 0.500 0.500
Ni: 0.772 0.772 0.685
Ga: 0.593 0.593 0.220
Ni: 0.228 0.228 0.315
Ga: 0.133 0.133 0.600
Pr: 0.000 0.000 0.000
Ga: 0.867 0.867 0.400

Computed properties:
ΔH_f (0 K) ... -3.60 eV per formula unit
SG ... R-3m (166)

---

Entry 15:
First-principles (GGA-PBE) data for a relaxed structure of Ga2CoNi7Pt2, as listed in Alexandria.

a b c (Å): 3.373 3.373 13.965
angles (deg): 82.44 82.44 89.98
Element x y z (fractional)
Pt: 0.349 0.349 0.277
Ni: 0.427 0.927 0.132
Ni: 0.731 0.731 0.536
Ni: 0.573 0.073 0.868
Ni: 0.927 0.427 0.132
Ga: 0.194 0.194 0.639
Co: 0.000 0.000 0.000
Ga: 0.806 0.806 0.361
Ni: 0.500 0.500 0.000
Ni: 0.269 0.269 0.464
Ni: 0.073 0.573 0.868
Pt: 0.651 0.651 0.723

Computed properties:
ΔH_f (0 K) ... -0.61 eV per formula unit
SG ... C2/m (12)

---

Entry 16:
First-principles (GGA-PBE) data for a relaxed structure of Pu2Ga4CoNi3, as listed in Alexandria.

a b c (Å): 4.091 4.091 9.871
angles (deg): 90.00 90.00 90.00
Element x y z (fractional)
Ga: 0.500 0.500 0.000
Pu: 0.500 0.000 0.257
Ga: 0.500 0.000 0.625
Ni: 0.500 0.000 0.866
Ni: 0.000 0.000 0.500
Ga: 0.000 0.000 0.000
Ni: 0.000 0.500 0.134
Co: 0.500 0.500 0.500
Ga: 0.000 0.500 0.375
Pu: 0.000 0.500 0.743

Computed properties:
ΔH_f (0 K) ... -3.47 eV per formula unit
SG ... P-4m2 (115)

---

Entry 17:
First-principles (GGA-PBE) data for a relaxed structure of PuGa3CoNi, as listed in Alexandria.

a b c (Å): 5.811 7.442 6.294
angles (deg): 126.24 90.00 90.00
Element x y z (fractional)
Pu: 0.250 0.741 0.482
Ni: 0.250 0.024 0.048
Ga: 0.000 0.251 0.000
Co: 0.750 0.528 0.057
Ga: 0.500 0.749 0.000
Ga: 0.000 0.749 0.000
Co: 0.250 0.472 0.943
Ga: 0.500 0.251 0.000
Ni: 0.750 0.976 0.952
Ga: 0.750 0.752 0.504
Pu: 0.750 0.259 0.518
Ga: 0.250 0.248 0.496

Computed properties:
ΔH_f (0 K) ... -0.93 eV per formula unit
SG ... Cmcm (63)

---

Entry 18:
First-principles (GGA-PBE) data for a relaxed structure of Sc2GaCo2Ni5, as listed in Alexandria.

a b c (Å): 3.747 8.387 8.387
angles (deg): 90.00 90.00 90.00
Element x y z (fractional)
Ni: 0.500 0.500 0.000
Ni: 0.500 0.568 0.705
Ga: 0.000 0.000 0.000
Sc: 0.000 0.171 0.329
Ni: 0.500 0.068 0.795
Ga: 0.000 0.500 0.500
Co: 0.000 0.373 0.127
Ni: 0.500 0.795 0.932
Ni: 0.500 0.432 0.295
Ni: 0.500 0.295 0.568
Sc: 0.000 0.829 0.671
Ni: 0.500 0.932 0.205
Co: 0.000 0.873 0.373
Sc: 0.000 0.671 0.171
Co: 0.000 0.127 0.627
Sc: 0.000 0.329 0.829
Ni: 0.500 0.000 0.500
Co: 0.000 0.627 0.873
Ni: 0.500 0.205 0.068
Ni: 0.500 0.705 0.432

Computed properties:
ΔH_f (0 K) ... -3.00 eV per formula unit
SG ... P4/mbm (127)

---

Entry 19:
First-principles (GGA-PBE) data for a relaxed structure of Sc2Ga5Co2Ni, as listed in Alexandria.

a b c (Å): 3.874 8.838 8.838
angles (deg): 90.00 90.00 90.00
Element x y z (fractional)
Ga: 0.500 0.064 0.797
Ga: 0.500 0.000 0.500
Ni: 0.000 0.000 0.000
Ga: 0.500 0.703 0.436
Sc: 0.000 0.321 0.821
Ga: 0.500 0.564 0.703
Co: 0.000 0.617 0.883
Ga: 0.500 0.203 0.064
Ga: 0.500 0.797 0.936
Sc: 0.000 0.821 0.679
Sc: 0.000 0.679 0.179
Co: 0.000 0.883 0.383
Co: 0.000 0.117 0.617
Ga: 0.500 0.436 0.297
Ga: 0.500 0.297 0.564
Sc: 0.000 0.179 0.321
Ga: 0.500 0.500 0.000
Co: 0.000 0.383 0.117
Ga: 0.500 0.936 0.203
Ni: 0.000 0.500 0.500

Computed properties:
ΔH_f (0 K) ... -4.21 eV per formula unit
SG ... P4/mbm (127)

---

Entry 20:
First-principles (GGA-PBE) data for a relaxed structure of GaCoSiNi, as listed in Alexandria.

a b c (Å): 4.033 4.033 4.033
angles (deg): 60.00 60.00 60.00
Element x y z (fractional)
Co: 0.500 0.500 0.500
Ni: 0.000 0.000 0.000
Ga: 0.250 0.250 0.250
Si: 0.750 0.750 0.750

Computed properties:
E_form (uncorrected) ... -313 meV/atom
SG ... F-43m (216)

---

Entry 21:
First-principles (GGA-PBE) data for a relaxed structure of Sm2Ga4CoNi3, as listed in Alexandria.

a b c (Å): 4.155 4.155 9.733
angles (deg): 90.00 90.00 90.00
Element x y z (fractional)
Ni: 0.000 0.500 0.131
Ga: 0.500 0.500 0.000
Ga: 0.500 0.000 0.624
Ni: 0.500 0.000 0.869
Ga: 0.000 0.000 0.000
Co: 0.500 0.500 0.500
Sm: 0.500 0.000 0.255
Sm: 0.000 0.500 0.745
Ga: 0.000 0.500 0.376
Ni: 0.000 0.000 0.500

Computed properties:
ΔH_f (0 K) ... -5.31 eV per formula unit
SG ... P-4m2 (115)

---

Final energy list, top to bottom, in eV/atom: -6.688, -5.963, -5.999, -6.943, -5.451, -4.242, -5.002, -5.248, -5.206, -5.133, -4.748, -5.193, -4.771, -4.894, -5.527, -6.869, -6.205, -6.180, -5.200, -5.647, -5.130